This record from Alexandria describes a relaxed VTePdO6 crystal. The functional is PBE with a Hubbard U.

density: 5.844 g/cm3
DFT total energy: -6.10 eV/atom

Structure (POSCAR):
```
VTePdO6
1.0
-1.263 0.450 5.020
4.793 -1.484 -1.350
2.709 8.853 -0.113
V O Te Pd
2 12 2 2
Cartesian
2.787 6.445 2.812
3.452 1.374 0.745
3.639 7.275 1.242
5.382 6.714 -0.947
-0.090 1.361 1.825
3.963 4.968 2.250
2.600 0.544 2.315
3.478 5.081 -0.560
6.046 4.307 0.415
0.193 3.512 3.142
6.329 6.458 1.733
0.857 1.105 4.505
2.761 2.739 4.118
2.277 2.851 1.307
1.433 2.019 2.869
4.806 5.801 0.689
0.000 0.000 0.000
1.354 4.427 -0.056
```